Entry from Alexandria via LeMat-Bulk: a relaxed Li2Ag2Ge crystal (PBE).

```
data_Li2Ag2Ge
_chemical_formula_sum 'Li4 Ag4 Ge2'
_cell_length_a 4.640
_cell_length_b 5.664
_cell_length_c 7.458
_cell_angle_alpha 113.99
_cell_angle_beta 108.12
_cell_angle_gamma 90.00
_symmetry_space_group_name_H-M 'P 1'
_symmetry_Int_Tables_number 1
loop_
_symmetry_equiv_pos_as_xyz
'x,y,z'
loop_
_atom_site_label
_atom_site_type_symbol
_atom_site_fract_x
_atom_site_fract_y
_atom_site_fract_z
Li1 Li 0.685 0.189 0.371
Li2 Li 0.686 0.689 0.371
Li3 Li 0.315 0.811 0.629
Li4 Li 0.314 0.311 0.629
Ag1 Ag 0.116 0.362 0.240
Ag2 Ag 0.876 0.138 0.760
Ag3 Ag 0.884 0.638 0.760
Ag4 Ag 0.124 0.862 0.240
Ge1 Ge 0.506 0.750 0.000
Ge2 Ge 0.494 0.250 0.000
```

Results
Calculated formation energy in eV/atom: -0.13
Fermi-level density of states in states/eV per cell: 3.547